[1]
## Tc2SbOs (GGA-PBEsol)

Data for Tc2SbOs after structural relaxation.

Computed properties:
Total magnetic moment ... 0.000 μB per formula unit
Uncorrected formation energy ... 371 meV per atom
Crystal system ... orthorhombic

```
data_Tc2SbOs
_chemical_formula_sum 'Tc4 Sb2 Os2'
_space_group_name_H-M_alt 'I m m 2'
_space_group_IT_number 44
_cell_length_a 3.050
_cell_length_b 4.481
_cell_length_c 8.962
_cell_angle_alpha 90.00
_cell_angle_beta 90.00
_cell_angle_gamma 90.00
loop_
_space_group_symop_operation_xyz
'x,y,z'
'-x,-y,z'
'-x,y,z'
'x,-y,z'
'x+1/2,y+1/2,z+1/2'
'-x+1/2,-y+1/2,z+1/2'
'-x+1/2,y+1/2,z+1/2'
'x+1/2,-y+1/2,z+1/2'
loop_
_atom_site_label
_atom_site_type_symbol
_atom_site_fract_x
_atom_site_fract_y
_atom_site_fract_z
Tc1 Tc 0.000 0.000 0.000
Tc2 Tc 0.000 0.500 0.236
Sb1 Sb 0.000 0.000 0.501
Os1 Os 0.000 0.500 0.766
```

=====

[2]
## Tc2SbOs (GGA-PBEsol)

Data for Tc2SbOs after structural relaxation.

Computed properties:
Total magnetic moment ... 0.001 μB per formula unit
Uncorrected formation energy ... 364 meV per atom
Crystal system ... orthorhombic

```
data_Tc2SbOs
_chemical_formula_sum 'Tc2 Sb1 Os1'
_space_group_name_H-M_alt 'P m m m'
_space_group_IT_number 47
_cell_length_a 2.877
_cell_length_b 3.930
_cell_length_c 5.465
_cell_angle_alpha 90.00
_cell_angle_beta 90.00
_cell_angle_gamma 90.00
loop_
_space_group_symop_operation_xyz
'x,y,z'
'-x,-y,-z'
'-x,-y,z'
'x,y,-z'
'x,-y,-z'
'-x,y,z'
'-x,y,-z'
'x,-y,z'
loop_
_atom_site_label
_atom_site_type_symbol
_atom_site_fract_x
_atom_site_fract_y
_atom_site_fract_z
Tc1 Tc 0.000 0.000 0.231
Sb1 Sb 0.500 0.500 0.500
Os1 Os 0.500 0.500 0.000
```

=====

[3]
## TcSb2Os (GGA-PBEsol)

Data for TcSb2Os after structural relaxation.

Computed properties:
Total magnetic moment ... 0.000 μB per formula unit
Uncorrected formation energy ... 201 meV per atom
Crystal system ... tetragonal

```
data_TcSb2Os
_chemical_formula_sum 'Tc1 Sb2 Os1'
_space_group_name_H-M_alt 'P 4 m m'
_space_group_IT_number 99
_cell_length_a 2.993
_cell_length_b 2.993
_cell_length_c 8.807
_cell_angle_alpha 90.00
_cell_angle_beta 90.00
_cell_angle_gamma 90.00
loop_
_space_group_symop_operation_xyz
'x,y,z'
'-y,x,z'
'-x,-y,z'
'y,-x,z'
'-x,y,z'
'y,x,z'
'x,-y,z'
'-y,-x,z'
loop_
_atom_site_label
_atom_site_type_symbol
_atom_site_fract_x
_atom_site_fract_y
_atom_site_fract_z
Tc1 Tc 0.000 0.000 0.000
Sb1 Sb 0.000 0.000 0.398
Sb2 Sb 0.500 0.500 0.785
Os1 Os 0.500 0.500 0.185
```